(a)
! P3N5 (GGA-PBEsol, relaxed); values from VASP
&SYSTEM
  ibrav = 0, nat = 16, ntyp = 2
/
ATOMIC_SPECIES
P 30.97 P.upf
N 14.01 N.upf
CELL_PARAMETERS angstrom
-0.3519 1.3382 4.8279
-4.5202 0.4949 -2.1320
0.6502 -8.7387 0.7436
ATOMIC_POSITIONS angstrom
P -2.5843 -4.0923 0.7154
P -0.6904 -8.0196 0.4350
P -3.5315 1.1140 3.0044
P -0.7333 -5.7932 2.3916
P -3.4886 -1.1124 1.0479
P -1.6376 -2.8132 2.7240
N -1.5429 -4.3788 2.0298
N -2.7211 -0.2914 -0.1866
N -0.9227 -6.6020 1.0620
N -3.8890 -4.9316 0.9389
N -0.3329 -1.9740 2.5005
N -1.5008 -6.6142 3.6260
N -2.6790 -2.5267 1.4097
N 0.0000 0.0000 0.0000
N -1.9350 -4.1219 -0.6942
N -3.2992 -0.3036 2.3774
! * SG: C2/c (15)
! * DOS(E_F): 0.00 states/eV per cell
! * ρ: 2730 kg/m³

(b)
! P3N5 (GGA-PBEsol, relaxed); values from VASP
&SYSTEM
  ibrav = 0, nat = 8, ntyp = 2
/
ATOMIC_SPECIES
N 14.01 N.upf
P 30.97 P.upf
CELL_PARAMETERS angstrom
-0.3685 0.0440 2.5916
1.2131 -4.2313 0.2443
5.7177 3.9026 -0.5754
ATOMIC_POSITIONS angstrom
N 3.4785 0.0710 1.8158
N 5.3855 -1.0084 2.1053
N 3.6283 -2.2555 0.5542
N 0.4322 -2.1281 1.4199
N 1.3760 0.0284 0.1952
P 1.9902 0.8803 1.5905
P 4.4569 -0.7636 0.6468
P 0.3725 -1.2993 0.0750
! * SG: Imm2 (44)
! * DOS(E_F): 0.00 states/eV per cell
! * ρ: 3631 kg/m³

Which of them is most stable? Easy: (a).